# LiNiSnO4

A geometry-optimized LiNiSnO4 structure (GGA+U, Alexandria).

Calculated values
Volume: 11.38 A^3/atom
Total magnetic moment: 0.143 μB/atom
Energy above the most stable polymorph in this dataset: 0.44 eV per formula unit

Lattice parameters (Å, degrees): 5.1679 3.0330 5.3198 90.00 72.82 90.00
Fractional positions:
Li 0.0000 0.0000 0.0000
Ni 0.5000 0.5000 0.0000
Sn 0.5000 0.0000 0.5000
O 0.6990 0.0000 0.7993
O 0.7299 0.5000 0.2677
O 0.2701 0.5000 0.7323
O 0.3010 0.0000 0.2007